# 1
DFT (PBE) results for NbSe2Cl after structural relaxation.

Lattice parameters (Å, degrees): 4.7358 4.7358 4.7358 60.00 60.00 60.00
Fractional coordinates of all 4 atoms:
Nb1 0.0000 0.0000 0.0000
Se1 0.2500 0.2500 0.2500
Se2 0.7500 0.7500 0.7500
Cl1 0.5000 0.5000 0.5000

N(E_F)	0.787	states/eV per atom
formation energy (no corrections)	6.1	kJ/mol of atoms
energy relative to the lowest polymorph listed for this composition	837	meV/atom
symmetry	Fm-3m


# 2
DFT (PBE) results for NiCN3 after structural relaxation.

Lattice parameters (Å, degrees): 3.2766 3.2766 3.2766 90.00 90.00 90.00
Fractional coordinates of all 5 atoms:
Ni1 0.0000 0.0000 0.0000
C1 0.5000 0.5000 0.5000
N1 0.0000 0.5000 0.5000
N2 0.5000 0.0000 0.5000
N3 0.5000 0.5000 0.0000

N(E_F)	0.607	states/eV per atom
formation energy (no corrections)	234.2	kJ/mol of atoms
symmetry	Pm-3m


# 3
DFT (PBE) results for MnZn3Cl after structural relaxation.

Lattice parameters (Å, degrees): 4.9743 4.9743 4.9743 90.00 90.00 90.00
Fractional coordinates of all 5 atoms:
Mn1 0.0000 0.0000 0.0000
Zn1 0.0000 0.0000 0.5000
Zn2 0.0000 0.5000 0.0000
Zn3 0.5000 0.0000 0.0000
Cl1 0.5000 0.5000 0.5000

N(E_F)	0.493	states/eV per atom
formation energy (no corrections)	37.4	kJ/mol of atoms
energy relative to the lowest polymorph listed for this composition	0	meV/atom
symmetry	Pm-3m


# 4
DFT (PBE) results for SbIrBr2 after structural relaxation.

Lattice parameters (Å, degrees): 7.8430 7.8430 7.8430 95.82 95.82 142.86
Fractional coordinates of all 8 atoms:
Sb1 0.0000 0.0000 0.0000
Sb2 0.7500 0.2500 0.5000
Ir1 0.2500 0.7500 0.5000
Ir2 0.5000 0.5000 0.0000
Br1 0.3716 0.6250 0.2466
Br2 0.3750 0.6216 0.7466
Br3 0.3784 0.1250 0.7534
Br4 0.8750 0.6284 0.2534

N(E_F)	0.677	states/eV per atom
formation energy (no corrections)	26.9	kJ/mol of atoms
energy relative to the lowest polymorph listed for this composition	571	meV/atom
symmetry	I-42d


# 5
DFT (PBE) results for ErU2S4 after structural relaxation.

Lattice parameters (Å, degrees): 6.7328 6.7328 13.2264 90.00 90.00 148.03
Fractional coordinates of all 14 atoms:
Er1 0.1192 0.8808 0.7500
Er2 0.8808 0.1192 0.2500
U1 0.3637 0.6363 0.5674
U2 0.3637 0.6363 0.9326
U3 0.6363 0.3637 0.0674
U4 0.6363 0.3637 0.4326
S1 0.0000 0.0000 0.0000
S2 0.0000 0.0000 0.5000
S3 0.2829 0.7171 0.1272
S4 0.2829 0.7171 0.3728
S5 0.4647 0.5353 0.7500
S6 0.5353 0.4647 0.2500
S7 0.7171 0.2829 0.6272
S8 0.7171 0.2829 0.8728

N(E_F)	1.488	states/eV per atom
formation energy (no corrections)	-146.7	kJ/mol of atoms
symmetry	Cmcm


# 6
DFT (PBE) results for NdSi2Ag after structural relaxation.

Lattice parameters (Å, degrees): 13.7841 4.2395 10.9559 90.00 90.00 90.00
Fractional coordinates of all 32 atoms:
Nd1 0.0535 0.2500 0.2426
Nd2 0.1963 0.7500 0.9672
Nd3 0.3037 0.2500 0.4672
Nd4 0.4465 0.7500 0.7426
Nd5 0.5535 0.2500 0.2574
Nd6 0.6963 0.7500 0.5328
Nd7 0.8037 0.2500 0.0328
Nd8 0.9465 0.7500 0.7574
Si1 0.0289 0.2500 0.9649
Si2 0.1101 0.2500 0.7782
Si3 0.1310 0.7500 0.4498
Si4 0.2148 0.7500 0.2650
Si5 0.2852 0.2500 0.7650
Si6 0.3690 0.2500 0.9498
Si7 0.3899 0.7500 0.2782
Si8 0.4711 0.7500 0.4649
Si9 0.5289 0.2500 0.5351
Si10 0.6101 0.2500 0.7218
Si11 0.6310 0.7500 0.0502
Si12 0.7148 0.7500 0.2350
Si13 0.7852 0.2500 0.7350
Si14 0.8690 0.2500 0.5502
Si15 0.8899 0.7500 0.2218
Si16 0.9711 0.7500 0.0351
Ag1 0.0598 0.2500 0.5538
Ag2 0.2028 0.7500 0.6675
Ag3 0.2972 0.2500 0.1675
Ag4 0.4402 0.7500 0.0538
Ag5 0.5598 0.2500 0.9462
Ag6 0.7028 0.7500 0.8325
Ag7 0.7972 0.2500 0.3325
Ag8 0.9402 0.7500 0.4462

N(E_F)	0.233	states/eV per atom
formation energy (no corrections)	-47.2	kJ/mol of atoms
symmetry	Pnma


# 7
DFT (PBE) results for Cd2TeC after structural relaxation.

Lattice parameters (Å, degrees): 4.9169 4.9169 4.9169 60.00 60.00 60.00
Fractional coordinates of all 4 atoms:
Cd1 0.2500 0.2500 0.2500
Cd2 0.7500 0.7500 0.7500
Te1 0.0000 0.0000 0.0000
C1 0.5000 0.5000 0.5000

N(E_F)	0.705	states/eV per atom
formation energy (no corrections)	138.2	kJ/mol of atoms
energy relative to the lowest polymorph listed for this composition	550	meV/atom
symmetry	Fm-3m


# 8
DFT (PBE) results for DyScFe after structural relaxation.

Lattice parameters (Å, degrees): 6.7069 6.7069 7.0312 90.00 90.00 122.89
Fractional coordinates of all 12 atoms:
Dy1 0.1956 0.8044 0.8885
Dy2 0.3044 0.6956 0.3885
Dy3 0.6956 0.3044 0.6115
Dy4 0.8044 0.1956 0.1115
Sc1 0.2089 0.2911 0.7500
Sc2 0.2911 0.2089 0.2500
Sc3 0.7089 0.7911 0.7500
Sc4 0.7911 0.7089 0.2500
Fe1 0.0917 0.9083 0.5399
Fe2 0.4083 0.5917 0.0399
Fe3 0.5917 0.4083 0.9601
Fe4 0.9083 0.0917 0.4601

N(E_F)	1.044	states/eV per atom
symmetry	Cmce
energy relative to the elements	-0.05	eV/f.u.


# 9
DFT (PBE) results for HoTmPd after structural relaxation.

Lattice parameters (Å, degrees): 4.8012 7.3522 7.3522 120.57 90.00 90.00
Fractional coordinates of all 9 atoms:
Ho1 0.0000 0.0000 0.0000
Ho2 0.0000 0.2661 0.5277
Ho3 0.0000 0.5277 0.2661
Tm1 0.5000 0.2618 0.8562
Tm2 0.5000 0.6701 0.6701
Tm3 0.5000 0.8562 0.2618
Pd1 0.0000 0.5990 0.9351
Pd2 0.0000 0.9351 0.5990
Pd3 0.5000 0.2627 0.2627

N(E_F)	1.147	states/eV per atom
energy relative to the lowest polymorph listed for this composition	0	meV/atom
symmetry	Amm2
energy relative to the elements	-1.76	eV/f.u.


# 10
DFT (PBE) results for Tb2YTc after structural relaxation.

Lattice parameters (Å, degrees): 3.4737 3.4737 8.9127 90.00 90.00 90.00
Fractional coordinates of all 4 atoms:
Tb1 0.0000 0.0000 0.1852
Tb2 0.0000 0.0000 0.8148
Y1 0.5000 0.5000 0.5000
Tc1 0.5000 0.5000 0.0000

N(E_F)	1.567	states/eV per atom
energy relative to the lowest polymorph listed for this composition	130	meV/atom
symmetry	P4/mmm
energy relative to the elements	0.17	eV/f.u.


# 11
DFT (PBE) results for Rb2NaVCr after structural relaxation.

Lattice parameters (Å, degrees): 6.7736 6.7736 5.6824 90.00 90.00 90.00
Fractional coordinates of all 5 atoms:
Rb1 0.0000 0.5000 0.0000
Rb2 0.5000 0.0000 0.0000
Na1 0.0000 0.0000 0.0000
V1 0.0000 0.0000 0.5000
Cr1 0.5000 0.5000 0.5000

N(E_F)	1.236	states/eV per atom
symmetry	P4/mmm
energy relative to the elements	7.34	eV/f.u.


# 12
DFT (PBE) results for MgAlAu2 after structural relaxation.

Lattice parameters (Å, degrees): 3.5825 3.5936 5.5315 90.00 90.00 90.00
Fractional coordinates of all 4 atoms:
Mg1 0.0000 0.0000 0.0000
Al1 0.5000 0.5000 0.3153
Au1 0.0000 0.0000 0.4848
Au2 0.5000 0.5000 0.8146

N(E_F)	0.195	states/eV per atom
symmetry	Pmm2
energy relative to the elements	-1.82	eV/f.u.


no.,magnetic moment (μB/f.u.)
1,0.000
2,0.000
3,4.033
4,0.000
5,6.131
6,0.000
7,0.000
8,0.598
9,0.000
10,0.004
11,9.758
12,0.000